Below is a geometry-optimized CdP3F structure, with properties calculated at the PBE level.

**Uncorrected formation energy**: 1247 meV per atom
**Relative energy among the computed polymorphs**: 552 meV/atom

Cell lengths 4.979, 4.979, 4.979 Å; angles 90.00, 90.00, 90.00 degrees
Fractional positions:
P 0.000 0.000 0.500
F 0.500 0.500 0.500
Cd 0.000 0.000 0.000
P 0.500 0.000 0.000
P 0.000 0.500 0.000


Below is a geometry-optimized Cd2PF structure, with properties calculated at the PBE level.

**Uncorrected formation energy**: -814 meV per atom
**Relative energy among the computed polymorphs**: 4 meV/atom

Cell lengths 4.440, 4.161, 9.013 Å; angles 90.00, 90.01, 90.00 degrees
Fractional positions:
P 0.701 0.305 0.925
Cd 0.701 0.641 0.178
F 0.201 0.700 0.651
Cd 0.701 0.787 0.745
Cd 0.201 0.141 0.038
F 0.701 0.200 0.565
Cd 0.201 0.287 0.471
P 0.201 0.805 0.291


Below is a geometry-optimized Cd2PF2 structure, with properties calculated at the PBE level.

**Uncorrected formation energy**: -1312 meV per atom

Cell lengths 7.374, 7.717, 8.549 Å; angles 90.00, 121.52, 90.00 degrees
Fractional positions:
Cd 0.769 0.344 0.358
F 0.943 0.779 0.993
P 0.551 0.564 0.632
Cd 0.269 0.156 0.358
F 0.426 0.921 0.314
P 0.051 0.936 0.632
F 0.057 0.221 0.007
Cd 0.230 0.178 0.850
F 0.074 0.421 0.686
Cd 0.730 0.322 0.850
P 0.949 0.064 0.368
Cd 0.770 0.822 0.150
F 0.926 0.579 0.314
Cd 0.731 0.844 0.642
F 0.574 0.079 0.686
Cd 0.231 0.656 0.642
F 0.557 0.279 0.007
P 0.449 0.436 0.368
Cd 0.270 0.678 0.150
F 0.443 0.721 0.993


Below is a geometry-optimized Cd2PF structure, with properties calculated at the PBE level.

**Uncorrected formation energy**: -737 meV per atom
**Relative energy among the computed polymorphs**: 81 meV/atom

Cell lengths 4.171, 4.171, 7.115 Å; angles 72.95, 72.95, 60.00 degrees
Fractional positions:
Cd 0.108 0.108 0.677
P 0.500 0.500 0.500
Cd 0.892 0.892 0.323
F 0.000 0.000 0.000


Below is a geometry-optimized CdPF structure, with properties calculated at the PBE level.

**Uncorrected formation energy**: -1016 meV per atom
**Relative energy among the computed polymorphs**: 0 meV/atom

Cell lengths 3.329, 5.022, 8.475 Å; angles 92.02, 90.12, 48.23 degrees
Fractional positions:
Cd 0.011 0.239 0.826
F 0.012 0.737 0.903
Cd 0.989 0.761 0.174
F 0.988 0.263 0.097
P 0.945 0.807 0.476
P 0.055 0.193 0.524


Below is a geometry-optimized Cd3PF structure, with properties calculated at the PBE level.

**Uncorrected formation energy**: -181 meV per atom
**Relative energy among the computed polymorphs**: 0 meV/atom

Cell lengths 5.222, 5.222, 5.222 Å; angles 90.00, 90.00, 90.00 degrees
Fractional positions:
Cd 0.000 0.500 0.000
P 0.000 0.000 0.000
Cd 0.000 0.000 0.500
F 0.500 0.500 0.500
Cd 0.500 0.000 0.000


Below is a geometry-optimized Cd2PF structure, with properties calculated at the PBE level.

**Uncorrected formation energy**: -621 meV per atom
**Relative energy among the computed polymorphs**: 197 meV/atom

Cell lengths 4.585, 4.585, 4.585 Å; angles 60.00, 60.00, 60.00 degrees
Fractional positions:
P 0.500 0.500 0.500
F 0.000 0.000 0.000
Cd 0.250 0.250 0.250
Cd 0.750 0.750 0.750


Below is a geometry-optimized Cd2PF structure, with properties calculated at the PBE level.

**Uncorrected formation energy**: -818 meV per atom
**Relative energy among the computed polymorphs**: 0 meV/atom

Cell lengths 4.221, 5.089, 6.359 Å; angles 66.41, 48.52, 52.89 degrees
Fractional positions:
Cd 0.542 0.063 0.120
P 0.312 0.679 0.120
F 0.774 0.198 0.619
Cd 0.077 0.545 0.620


no.,calculated density (g/cm3)
1,3.0
2,5.5
3,4.7
4,4.5
5,5.1
6,4.5
7,6.7
8,5.6